Entry 1:
This record from Alexandria via LeMat-Bulk describes Pm3Y3Ni2 after structural relaxation. The functional is GGA-PBE.

Geometry as CIF:
```
data_Pm3Y3Ni2
_symmetry_space_group_name_H-M 'C m c m'
_symmetry_Int_Tables_number 63
_symmetry_space_group_name_Hall '-C 2c 2'
_cell_length_a 3.681
_cell_length_b 13.297
_cell_length_c 18.703
_cell_angle_alpha 90.00
_cell_angle_beta 90.00
_cell_angle_gamma 90.00
loop_
_atom_site_label
_atom_site_fract_x
_atom_site_fract_y
_atom_site_fract_z
_atom_site_occupancy
Pm1 0.000 0.049 0.250 1
Pm2 0.000 0.176 0.563 1
Y1 0.000 0.228 0.750 1
Y2 0.000 0.437 0.585 1
Ni1 0.000 0.199 0.141 1
```

**ΔE_f**: -0.12 eV per atom
**Crystal system**: orthorhombic

=====

Entry 2:
This record from Alexandria via LeMat-Bulk describes YSi2H2 after structural relaxation. The functional is GGA-PBE.

Geometry as CIF:
```
data_YSi2H2
_symmetry_space_group_name_H-M 'P 4/m b m'
_symmetry_Int_Tables_number 127
_symmetry_space_group_name_Hall '-P 4 2ab'
_cell_length_a 7.210
_cell_length_b 7.210
_cell_length_c 3.003
_cell_angle_alpha 90.00
_cell_angle_beta 90.00
_cell_angle_gamma 90.00
loop_
_atom_site_label
_atom_site_fract_x
_atom_site_fract_y
_atom_site_fract_z
_atom_site_occupancy
Y1 0.000 0.000 0.000 1
Si1 0.114 0.386 0.000 1
H1 0.092 0.592 0.500 1
```

**Crystal system**: tetragonal
**VASP energy**: -4.172 eV/atom

=====

Entry 3:
This record from Alexandria via LeMat-Bulk describes Mg2TcP after structural relaxation. The functional is GGA-PBE.

Geometry as CIF:
```
data_Mg2TcP
_symmetry_space_group_name_H-M 'I m m 2'
_symmetry_Int_Tables_number 44
_cell_length_a 3.263
_cell_length_b 4.531
_cell_length_c 8.986
_cell_angle_alpha 90.00
_cell_angle_beta 90.00
_cell_angle_gamma 90.00
loop_
_symmetry_equiv_pos_as_xyz
'x,y,z'
'-x,-y,z'
'-x,y,z'
'x,-y,z'
'x+1/2,y+1/2,z+1/2'
'-x+1/2,-y+1/2,z+1/2'
'-x+1/2,y+1/2,z+1/2'
'x+1/2,-y+1/2,z+1/2'
loop_
_atom_site_label
_atom_site_fract_x
_atom_site_fract_y
_atom_site_fract_z
_atom_site_occupancy
Mg1 0.000 0.000 0.000 1
Mg2 0.000 0.500 0.215 1
Tc1 0.000 0.000 0.436 1
P1 0.000 0.500 0.753 1
```

**ΔE_f**: -0.16 eV per atom
**Crystal system**: orthorhombic

=====

Entry 4:
This record from Alexandria via LeMat-Bulk describes Ca3Tc2O8 after structural relaxation. The functional is GGA-PBE.

Geometry as CIF:
```
data_Ca3Tc2O8
_symmetry_space_group_name_H-M 'C 1 2/m 1'
_symmetry_Int_Tables_number 12
_cell_length_a 11.154
_cell_length_b 6.444
_cell_length_c 7.929
_cell_angle_alpha 90.00
_cell_angle_beta 133.59
_cell_angle_gamma 90.00
loop_
_symmetry_equiv_pos_as_xyz
'x,y,z'
'-x,-y,-z'
'-x,y,-z'
'x,-y,z'
'x+1/2,y+1/2,z'
'-x+1/2,-y+1/2,-z'
'-x+1/2,y+1/2,-z'
'x+1/2,-y+1/2,z'
loop_
_atom_site_label
_atom_site_fract_x
_atom_site_fract_y
_atom_site_fract_z
_atom_site_occupancy
Ca1 0.000 0.000 0.000 1
Ca2 0.000 0.256 0.500 1
Tc1 0.235 0.500 0.007 1
O1 0.090 0.241 0.870 1
O2 0.201 0.000 0.711 1
O3 0.206 0.500 0.736 1
```

**Crystal system**: monoclinic
**Formation energy without anion corrections**: -2.04 eV per atom

=====

Entry 5:
This record from Alexandria via LeMat-Bulk describes La3Pr2Th4 after structural relaxation. The functional is GGA-PBE.

Geometry as CIF:
```
data_La3Pr2Th4
_symmetry_space_group_name_H-M 'C 1 2/m 1'
_symmetry_Int_Tables_number 12
_cell_length_a 19.050
_cell_length_b 3.635
_cell_length_c 9.959
_cell_angle_alpha 90.00
_cell_angle_beta 115.56
_cell_angle_gamma 90.00
loop_
_symmetry_equiv_pos_as_xyz
'x,y,z'
'-x,-y,-z'
'-x,y,-z'
'x,-y,z'
'x+1/2,y+1/2,z'
'-x+1/2,-y+1/2,-z'
'-x+1/2,y+1/2,-z'
'x+1/2,-y+1/2,z'
loop_
_atom_site_label
_atom_site_fract_x
_atom_site_fract_y
_atom_site_fract_z
_atom_site_occupancy
La1 0.000 0.000 0.000 1
La2 0.146 0.000 0.663 1
Pr1 0.164 0.500 0.006 1
Th1 0.023 0.500 0.337 1
Th2 0.183 0.000 0.342 1
```

**ΔE_f**: 0.07 eV per atom
**Crystal system**: monoclinic

=====

Entry 6:
This record from Alexandria via LeMat-Bulk describes Er2Ge4PtRh3 after structural relaxation. The functional is GGA-PBE.

Geometry as CIF:
```
data_Er2Ge4PtRh3
_symmetry_space_group_name_H-M 'P -4 m 2'
_symmetry_Int_Tables_number 115
_cell_length_a 4.149
_cell_length_b 4.149
_cell_length_c 10.373
_cell_angle_alpha 90.00
_cell_angle_beta 90.00
_cell_angle_gamma 90.00
loop_
_symmetry_equiv_pos_as_xyz
'x,y,z'
'y,-x,-z'
'-x,-y,z'
'-y,x,-z'
'-x,y,z'
'-y,-x,-z'
'x,-y,z'
'y,x,-z'
loop_
_atom_site_label
_atom_site_fract_x
_atom_site_fract_y
_atom_site_fract_z
_atom_site_occupancy
Er1 0.000 0.500 0.243 1
Ge1 0.000 0.000 0.000 1
Ge2 0.000 0.500 0.638 1
Ge3 0.500 0.500 0.000 1
Pt1 0.000 0.000 0.500 1
Rh1 0.000 0.500 0.869 1
Rh2 0.500 0.500 0.500 1
```

**ΔE_f**: -0.83 eV per atom
**Crystal system**: tetragonal

=====

Entry 7:
This record from Alexandria via LeMat-Bulk describes Pr5Er6Th after structural relaxation. The functional is GGA-PBE.

Geometry as CIF:
```
data_Pr5Er6Th
_symmetry_space_group_name_H-M 'C 1 2/m 1'
_symmetry_Int_Tables_number 12
_cell_length_a 6.264
_cell_length_b 10.843
_cell_length_c 11.781
_cell_angle_alpha 90.00
_cell_angle_beta 100.21
_cell_angle_gamma 90.00
loop_
_symmetry_equiv_pos_as_xyz
'x,y,z'
'-x,-y,-z'
'-x,y,-z'
'x,-y,z'
'x+1/2,y+1/2,z'
'-x+1/2,-y+1/2,-z'
'-x+1/2,y+1/2,-z'
'x+1/2,-y+1/2,z'
loop_
_atom_site_label
_atom_site_fract_x
_atom_site_fract_y
_atom_site_fract_z
_atom_site_occupancy
Pr1 0.000 0.000 0.000 1
Pr2 0.000 0.167 0.500 1
Pr3 0.000 0.333 0.000 1
Er1 0.247 0.335 0.748 1
Er2 0.247 0.500 0.252 1
Th1 0.000 0.500 0.500 1
```

**ΔE_f**: 0.03 eV per atom
**Crystal system**: monoclinic

=====

Entry 8:
This record from Alexandria via LeMat-Bulk describes NdTm8 after structural relaxation. The functional is GGA-PBE.

Geometry as CIF:
```
data_NdTm8
_symmetry_space_group_name_H-M 'I 4/m m m'
_symmetry_Int_Tables_number 139
_symmetry_space_group_name_Hall '-I 4 2'
_cell_length_a 10.536
_cell_length_b 10.536
_cell_length_c 4.952
_cell_angle_alpha 90.00
_cell_angle_beta 90.00
_cell_angle_gamma 90.00
loop_
_atom_site_label
_atom_site_fract_x
_atom_site_fract_y
_atom_site_fract_z
_atom_site_occupancy
Nd1 0.000 0.000 0.000 1
Tm1 0.000 0.334 0.000 1
Tm2 0.168 0.168 0.500 1
```

**ΔE_f**: 0.03 eV per atom
**Crystal system**: tetragonal

=====

Entry 9:
This record from Alexandria via LeMat-Bulk describes FePd2W after structural relaxation. The functional is GGA-PBE.

Geometry as CIF:
```
data_FePd2W
_symmetry_space_group_name_H-M 'F -4 3 m'
_symmetry_Int_Tables_number 216
_symmetry_space_group_name_Hall 'F -4 2 3'
_cell_length_a 6.157
_cell_length_b 6.157
_cell_length_c 6.157
_cell_angle_alpha 90.00
_cell_angle_beta 90.00
_cell_angle_gamma 90.00
loop_
_atom_site_label
_atom_site_fract_x
_atom_site_fract_y
_atom_site_fract_z
_atom_site_occupancy
Fe1 0.000 0.000 0.000 1
Pd1 0.000 0.000 0.500 1
Pd2 0.250 0.250 0.250 1
W1 0.250 0.250 0.750 1
```

**ΔE_f**: 0.21 eV per atom
**Crystal system**: cubic

=====

Entry 10:
This record from Alexandria via LeMat-Bulk describes AlF3 after structural relaxation. The functional is GGA-PBE.

Geometry as CIF:
```
data_AlF3
_symmetry_space_group_name_H-M 'C m m m'
_symmetry_Int_Tables_number 65
_symmetry_space_group_name_Hall '-C 2 2'
_cell_length_a 5.335
_cell_length_b 10.602
_cell_length_c 3.639
_cell_angle_alpha 90.00
_cell_angle_beta 90.00
_cell_angle_gamma 90.00
loop_
_atom_site_label
_atom_site_fract_x
_atom_site_fract_y
_atom_site_fract_z
_atom_site_occupancy
Al1 0.000 0.135 0.000 1
F1 0.000 0.139 0.500 1
F2 0.220 0.000 0.000 1
F3 0.250 0.250 0.000 1
```

**Crystal system**: orthorhombic
**Formation energy without anion corrections**: -3.52 eV per atom

=====

Entry 11:
This record from Alexandria via LeMat-Bulk describes BaSn2Hg8 after structural relaxation. The functional is GGA-PBE.

Geometry as CIF:
```
data_BaSn2Hg8
_symmetry_space_group_name_H-M 'P 4/m m m'
_symmetry_Int_Tables_number 123
_symmetry_space_group_name_Hall '-P 4 2'
_cell_length_a 7.465
_cell_length_b 7.465
_cell_length_c 6.344
_cell_angle_alpha 90.00
_cell_angle_beta 90.00
_cell_angle_gamma 90.00
loop_
_atom_site_label
_atom_site_fract_x
_atom_site_fract_y
_atom_site_fract_z
_atom_site_occupancy
Ba1 0.000 0.000 0.000 1
Sn1 0.000 0.500 0.500 1
Hg1 0.292 0.292 0.239 1
```

**ΔE_f**: -0.05 eV per atom
**Crystal system**: tetragonal

=====

Entry 12:
This record from Alexandria via LeMat-Bulk describes SmDySc4 after structural relaxation. The functional is GGA-PBE.

Geometry as CIF:
```
data_SmDySc4
_symmetry_space_group_name_H-M 'F -4 3 m'
_symmetry_Int_Tables_number 216
_symmetry_space_group_name_Hall 'F -4 2 3'
_cell_length_a 8.902
_cell_length_b 8.902
_cell_length_c 8.902
_cell_angle_alpha 90.00
_cell_angle_beta 90.00
_cell_angle_gamma 90.00
loop_
_atom_site_label
_atom_site_fract_x
_atom_site_fract_y
_atom_site_fract_z
_atom_site_occupancy
Sm1 0.000 0.000 0.000 1
Dy1 0.250 0.250 0.750 1
Sc1 0.125 0.125 0.375 1
```

**ΔE_f**: 0.23 eV per atom
**Crystal system**: cubic

=====

Copy entry 7 word for word.
This record from Alexandria via LeMat-Bulk describes Pr5Er6Th after structural relaxation. The functional is GGA-PBE.

Geometry as CIF:
```
data_Pr5Er6Th
_symmetry_space_group_name_H-M 'C 1 2/m 1'
_symmetry_Int_Tables_number 12
_cell_length_a 6.264
_cell_length_b 10.843
_cell_length_c 11.781
_cell_angle_alpha 90.00
_cell_angle_beta 100.21
_cell_angle_gamma 90.00
loop_
_symmetry_equiv_pos_as_xyz
'x,y,z'
'-x,-y,-z'
'-x,y,-z'
'x,-y,z'
'x+1/2,y+1/2,z'
'-x+1/2,-y+1/2,-z'
'-x+1/2,y+1/2,-z'
'x+1/2,-y+1/2,z'
loop_
_atom_site_label
_atom_site_fract_x
_atom_site_fract_y
_atom_site_fract_z
_atom_site_occupancy
Pr1 0.000 0.000 0.000 1
Pr2 0.000 0.167 0.500 1
Pr3 0.000 0.333 0.000 1
Er1 0.247 0.335 0.748 1
Er2 0.247 0.500 0.252 1
Th1 0.000 0.500 0.500 1
```

**ΔE_f**: 0.03 eV per atom
**Crystal system**: monoclinic